Entry 1:
DFT (GGA-PBE) results for a relaxed NaY2O crystal.

Properties
VASP energy: -0.4377 Ry per atom
DOS(E_F): 2.99 states/eV/cell
Formation energy without anion corrections: -1.154 eV/atom

Cell: 9.7236 9.7236 9.7236 Å, 20.79 20.79 20.79°
With the nearest neighbours (Å) after each atom.
Element x y z (fractional)
Na1 0.0000 0.0000 0.0000  2 Y 3.43, 6 Na 3.51
Y1 0.1203 0.1203 0.1203  3 O 2.42
Y2 0.8797 0.8797 0.8797  3 O 2.42
O1 0.5000 0.5000 0.5000  6 Y 2.42

---

Entry 2:
DFT (GGA-PBE) results for a relaxed TbMgAgRh crystal.

Properties
VASP energy: -0.3352 Ry per atom
DOS(E_F): 2.71 states/eV/cell
Energy of formation: -44 kJ/mol of atoms

Cell: 4.8175 4.8175 4.8175 Å, 60.00 60.00 60.00°
With the nearest neighbours (Å) after each atom.
Element x y z (fractional)
Tb1 0.0000 0.0000 0.0000  4 Rh 2.95, 4 Ag 2.95
Mg1 0.5000 0.5000 0.5000  4 Ag 2.95, 4 Rh 2.95
Ag1 0.2500 0.2500 0.2500  4 Mg 2.95, 4 Tb 2.95
Rh1 0.7500 0.7500 0.7500  4 Mg 2.95, 4 Tb 2.95

---

Entry 3:
DFT (GGA-PBE) results for a relaxed Ho6MgHg2 crystal.

Properties
VASP energy: -0.2553 Ry per atom
DOS(E_F): 18.48 states/eV/cell
Energy of formation: -17 kJ/mol of atoms

Cell: 8.7586 8.7586 8.7586 Å, 112.54 109.10 106.83°
With the nearest neighbours (Å) after each atom.
Element x y z (fractional)
Ho1 0.0431 0.8204 0.2227  3 Hg 2.96-3.29
Ho2 0.2479 0.5478 0.2999  2 Hg 2.96-3.16, 2 Mg 3.24-3.27
Ho3 0.2479 0.9480 0.7001  2 Hg 2.96-3.16, 2 Mg 3.24-3.27
Ho4 0.2724 0.3185 0.5909  3 Hg 3.21-3.24, 1 Mg 3.28, 1 Ho 3.53
Ho5 0.2724 0.6815 0.9538  3 Hg 3.21-3.24, 1 Mg 3.28, 1 Ho 3.53
Ho6 0.4023 0.1796 0.2227  3 Hg 2.96-3.29
Ho7 0.5977 0.8204 0.7773  3 Hg 2.96-3.29
Ho8 0.7276 0.3185 0.0462  3 Hg 3.21-3.24, 1 Mg 3.28, 1 Ho 3.53
Ho9 0.7276 0.6815 0.4091  3 Hg 3.21-3.24, 1 Mg 3.28, 1 Ho 3.53
Ho10 0.7521 0.0520 0.2999  2 Hg 2.96-3.16, 2 Mg 3.24-3.27
Ho11 0.7521 0.4522 0.7001  2 Hg 2.96-3.16, 2 Mg 3.24-3.27
Ho12 0.9569 0.1796 0.7773  3 Hg 2.96-3.29
Mg1 0.0000 0.5000 0.5000  8 Ho 3.24-3.28, 2 Hg 3.38
Mg2 0.5000 0.0000 0.5000  8 Ho 3.27-3.38
Hg1 0.0000 0.1522 0.1522  8 Ho 2.96-3.29, 1 Hg 2.96
Hg2 0.0000 0.8478 0.8478  8 Ho 2.96-3.29, 1 Hg 2.96
Hg3 0.3630 0.3630 0.0000  1 Hg 2.86, 4 Ho 2.96-3.16
Hg4 0.6370 0.6370 0.0000  1 Hg 2.86, 4 Ho 2.96-3.16

---

Copy entry 3 word for word.
DFT (GGA-PBE) results for a relaxed Ho6MgHg2 crystal.

Properties
VASP energy: -0.2553 Ry per atom
DOS(E_F): 18.48 states/eV/cell
Energy of formation: -17 kJ/mol of atoms

Cell: 8.7586 8.7586 8.7586 Å, 112.54 109.10 106.83°
With the nearest neighbours (Å) after each atom.
Element x y z (fractional)
Ho1 0.0431 0.8204 0.2227  3 Hg 2.96-3.29
Ho2 0.2479 0.5478 0.2999  2 Hg 2.96-3.16, 2 Mg 3.24-3.27
Ho3 0.2479 0.9480 0.7001  2 Hg 2.96-3.16, 2 Mg 3.24-3.27
Ho4 0.2724 0.3185 0.5909  3 Hg 3.21-3.24, 1 Mg 3.28, 1 Ho 3.53
Ho5 0.2724 0.6815 0.9538  3 Hg 3.21-3.24, 1 Mg 3.28, 1 Ho 3.53
Ho6 0.4023 0.1796 0.2227  3 Hg 2.96-3.29
Ho7 0.5977 0.8204 0.7773  3 Hg 2.96-3.29
Ho8 0.7276 0.3185 0.0462  3 Hg 3.21-3.24, 1 Mg 3.28, 1 Ho 3.53
Ho9 0.7276 0.6815 0.4091  3 Hg 3.21-3.24, 1 Mg 3.28, 1 Ho 3.53
Ho10 0.7521 0.0520 0.2999  2 Hg 2.96-3.16, 2 Mg 3.24-3.27
Ho11 0.7521 0.4522 0.7001  2 Hg 2.96-3.16, 2 Mg 3.24-3.27
Ho12 0.9569 0.1796 0.7773  3 Hg 2.96-3.29
Mg1 0.0000 0.5000 0.5000  8 Ho 3.24-3.28, 2 Hg 3.38
Mg2 0.5000 0.0000 0.5000  8 Ho 3.27-3.38
Hg1 0.0000 0.1522 0.1522  8 Ho 2.96-3.29, 1 Hg 2.96
Hg2 0.0000 0.8478 0.8478  8 Ho 2.96-3.29, 1 Hg 2.96
Hg3 0.3630 0.3630 0.0000  1 Hg 2.86, 4 Ho 2.96-3.16
Hg4 0.6370 0.6370 0.0000  1 Hg 2.86, 4 Ho 2.96-3.16